VASP calculation (GGA+U) on a geometry-optimized FeCo3O8 structure.

Lattice parameters (Å, degrees): 5.6954 5.6954 14.2052 90.00 90.00 120.00
Space group R3m (No. 160, hexagonal axes)
Unique sites:
Fe1 0.0000 0.0000 0.0000 (multiplicity 3)
Co1 0.0092 0.5046 0.1228 (multiplicity 9)
O1 0.0000 0.0000 0.3853 (multiplicity 3)
O2 0.0000 0.0000 0.8631 (multiplicity 3)
O3 0.0189 0.5094 0.3881 (multiplicity 9)
O4 0.1840 0.3681 0.1897 (multiplicity 9)

Raw total energy in eV per atom: -5.740
Energy relative to the lowest polymorph listed for this composition in meV/atom: 43
Fermi-level density of states in states/eV/cell: 10.77